Entry from Alexandria: a relaxed structure of TaNb2Re4 (PBE).

Properties
Space-group type: I4/mmm (139)
Energy relative to the elements, eV/atom: 0.34
Volume, A^3/atom: 17.74

Cell: 5.443 5.443 5.443 Å, 109.57 109.57 109.27°
Fractional positions:
Ta (0.000, 0.000, 0.000)
Nb (0.000, 0.500, 0.500)
Nb (0.500, 0.000, 0.500)
Re (0.000, 0.000, 0.500)
Re (0.000, 0.500, 0.000)
Re (0.500, 0.000, 0.000)
Re (0.500, 0.500, 0.500)